Below is NaAl2Ru after structural relaxation, with properties calculated at the PBEsol level.

Computed properties:
Its crystal system is cubic. The density is 4.91 g/cm³. The value obtained for the total energy is -79.1 eV/cell.

Unit cell a=6.223 b=6.223 c=6.223 alpha=90.00 beta=90.00 gamma=90.00
Space group Fm-3m (No. 225)
One atom of each set of equivalent atoms:
Na1 0.000 0.000 0.000 [4 per cell]
Al1 0.250 0.250 0.250 [8 per cell]
Ru1 0.000 0.000 0.500 [4 per cell]